A plane-wave DFT calculation with GGA-PBE was carried out for a geometry-optimized BaNpSb2Pd2 structure.

a = 4.6768 Å, b = 4.6768 Å, c = 8.4371 Å
α = 90.00°, β = 90.00°, γ = 120.00°
Closest atoms and distances in Å follow each position.
Element x y z (fractional)
Ba 0.0000 0.0000 0.0000  6 Sb 3.59, 6 Pd 3.80
Np 0.0000 0.0000 0.5000  6 Pd 3.11, 6 Sb 3.27
Sb 0.3333 0.6667 0.7189  3 Pd 2.72
Sb 0.6667 0.3333 0.2811  3 Pd 2.72
Pd 0.3333 0.6667 0.3172  3 Sb 2.72
Pd 0.6667 0.3333 0.6828  3 Sb 2.72

calculated total energy	-37.648	eV per cell
SG	P-3m1
Fermi-level density of states	1.53	states/eV/atom

A plane-wave DFT calculation with GGA-PBE was carried out for a geometry-optimized Ba3NpPd2Se6 structure.

a = 7.8465 Å, b = 7.8465 Å, c = 8.2781 Å
α = 90.00°, β = 90.00°, γ = 120.00°
Closest atoms and distances in Å follow each position.
Element x y z (fractional)
Ba 0.0000 0.0000 0.0000  6 Se 3.26
Ba 0.3333 0.6667 0.6120  1 Pd 3.15
Ba 0.6667 0.3333 0.3880  1 Pd 3.15
Np 0.0000 0.0000 0.5000  6 Se 2.73
Pd 0.3333 0.6667 0.2318  3 Se 2.44
Pd 0.6667 0.3333 0.7682  3 Se 2.44
Se 0.1583 0.3166 0.2965  1 Pd 2.44
Se 0.1583 0.8417 0.2965  1 Pd 2.44
Se 0.3166 0.1583 0.7035  1 Pd 2.44
Se 0.6834 0.8417 0.2965  1 Pd 2.44
Se 0.8417 0.1583 0.7035  1 Pd 2.44
Se 0.8417 0.6834 0.7035  1 Pd 2.44

calculated total energy	-63.071	eV per cell
SG	P-3m1
Fermi-level density of states	0.93	states/eV/atom